Entry 1:
Below is crystalline NaAgPO4 at its relaxed geometry, with properties calculated at the PBE level.

Cell lengths 5.4408, 5.4408, 6.6006 Å; angles 90.00, 90.00, 114.17 degrees
Atoms (fractional coordinates):
Na 0.0000 0.0000 0.0000
Na 0.0000 0.0000 0.5000
Ag 0.3015 0.6985 0.7500
Ag 0.6985 0.3015 0.2500
P 0.3633 0.6367 0.2500
P 0.6367 0.3633 0.7500
O 0.2475 0.3240 0.2500
O 0.2560 0.7440 0.0660
O 0.2560 0.7440 0.4340
O 0.3240 0.2475 0.7500
O 0.6760 0.7525 0.2500
O 0.7440 0.2560 0.5660
O 0.7440 0.2560 0.9340
O 0.7525 0.6760 0.7500

Summary:
D(E_F) (states/eV per cell): 7.0
Symmetry: Cmcm, No. 63
Energy relative to the elements, uncorrected (kJ/mol of atoms): -153.61

***

Entry 2:
Below is crystalline NaPa3Ag4O12 at its relaxed geometry, with properties calculated at the PBE level.

Cell lengths 7.4738, 7.4738, 7.4738 Å; angles 106.30, 106.30, 106.30 degrees
Atoms (fractional coordinates):
Na 0.0000 0.0000 0.0000
Pa 0.0000 0.5623 0.4377
Pa 0.4377 0.0000 0.5623
Pa 0.5623 0.4377 0.0000
Ag 0.0843 0.5000 0.9157
Ag 0.5000 0.5000 0.5000
Ag 0.5000 0.9157 0.0843
Ag 0.9157 0.0843 0.5000
O 0.0062 0.2716 0.3594
O 0.1059 0.8941 0.5000
O 0.2716 0.3594 0.0062
O 0.3233 0.6767 0.5000
O 0.3594 0.0062 0.2716
O 0.5000 0.1059 0.8941
O 0.5000 0.3233 0.6767
O 0.6406 0.7284 0.9938
O 0.6767 0.5000 0.3233
O 0.7284 0.9938 0.6406
O 0.8941 0.5000 0.1059
O 0.9938 0.6406 0.7284

Summary:
D(E_F) (states/eV per cell): 20.9
Symmetry: R32, No. 155
Energy relative to the elements, uncorrected (kJ/mol of atoms): -177.50

***

Entry 3:
Below is crystalline Na2PaAgO4 at its relaxed geometry, with properties calculated at the PBE level.

Cell lengths 5.8576, 3.6968, 5.9770 Å; angles 90.00, 91.27, 90.00 degrees
Atoms (fractional coordinates):
Na 0.0000 0.0000 0.0000
Na 0.0000 0.5000 0.5000
Pa 0.5000 0.0000 0.5000
Ag 0.5000 0.5000 0.0000
O 0.2135 0.0000 0.6839
O 0.3436 0.5000 0.3124
O 0.6564 0.5000 0.6876
O 0.7865 0.0000 0.3161

Summary:
D(E_F) (states/eV per cell): 0.0
Symmetry: P2/m, No. 10
Energy relative to the elements, uncorrected (kJ/mol of atoms): -209.14

***

Entry 4:
Below is crystalline NaPaAg2O4 at its relaxed geometry, with properties calculated at the PBE level.

Cell lengths 4.6171, 4.6171, 11.5248 Å; angles 90.00, 90.00, 90.00 degrees
Atoms (fractional coordinates):
Na 0.0000 0.0000 0.0000
Na 0.5000 0.5000 0.5000
Pa 0.0000 0.0000 0.5000
Pa 0.5000 0.5000 0.0000
Ag 0.0000 0.5000 0.2500
Ag 0.0000 0.5000 0.7500
Ag 0.5000 0.0000 0.2500
Ag 0.5000 0.0000 0.7500
O 0.0000 0.0000 0.3185
O 0.0000 0.0000 0.6815
O 0.0000 0.5000 0.0000
O 0.0000 0.5000 0.5000
O 0.5000 0.0000 0.0000
O 0.5000 0.0000 0.5000
O 0.5000 0.5000 0.1815
O 0.5000 0.5000 0.8185

Summary:
Symmetry: I4/mmm, No. 139
Energy relative to the elements, uncorrected (kJ/mol of atoms): -172.91

***

Entry 5:
Below is crystalline NaPa2AgO8 at its relaxed geometry, with properties calculated at the PBE level.

Cell lengths 5.4042, 5.4042, 6.9625 Å; angles 90.00, 90.00, 120.00 degrees
Atoms (fractional coordinates):
Na 0.0000 0.0000 0.0000
Pa 0.3333 0.6667 0.3631
Pa 0.6667 0.3333 0.6369
Ag 0.0000 0.0000 0.5000
O 0.1810 0.3620 0.6486
O 0.1810 0.8190 0.6486
O 0.3333 0.6667 0.0963
O 0.3620 0.1810 0.3514
O 0.6380 0.8190 0.6486
O 0.6667 0.3333 0.9037
O 0.8190 0.1810 0.3514
O 0.8190 0.6380 0.3514

Summary:
Symmetry: P-3m1, No. 164
Energy relative to the elements, uncorrected (kJ/mol of atoms): -178.35

***

Entry 6:
Below is crystalline Na2AgPdO4 at its relaxed geometry, with properties calculated at the PBE level.

Cell lengths 5.8600, 3.1436, 6.1686 Å; angles 90.00, 116.24, 90.00 degrees
Atoms (fractional coordinates):
Na 0.0000 0.0000 0.0000
Na 0.5000 0.5000 0.5000
Ag 0.0000 0.0000 0.5000
Pd 0.5000 0.5000 0.0000
O 0.1174 0.5000 0.7678
O 0.4480 0.0000 0.1925
O 0.5520 0.0000 0.8075
O 0.8826 0.5000 0.2322

Summary:
D(E_F) (states/eV per cell): 2.8
Symmetry: P2/m, No. 10
Energy relative to the elements, uncorrected (kJ/mol of atoms): -76.04

***

Entry 7:
Below is crystalline Na3AgPd3O8 at its relaxed geometry, with properties calculated at the PBE level.

Cell lengths 6.8353, 6.8353, 6.1954 Å; angles 116.58, 116.58, 53.02 degrees
Atoms (fractional coordinates):
Na 0.0000 0.0000 0.0000
Na 0.0000 0.5000 0.5000
Na 0.5000 0.0000 0.5000
Ag 0.0000 0.0000 0.5000
Pd 0.0000 0.5000 0.0000
Pd 0.5000 0.0000 0.0000
Pd 0.5000 0.5000 0.5000
O 0.1958 0.6865 0.2423
O 0.2192 0.2192 0.1847
O 0.2609 0.2609 0.7932
O 0.3135 0.8042 0.7577
O 0.6865 0.1958 0.2423
O 0.7391 0.7391 0.2068
O 0.7808 0.7808 0.8153
O 0.8042 0.3135 0.7577

Summary:
D(E_F) (states/eV per cell): 6.0
Symmetry: C2/m, No. 12
Energy relative to the elements, uncorrected (kJ/mol of atoms): -68.10

***

Entry 8:
Below is crystalline Na3Ag2PdO6 at its relaxed geometry, with properties calculated at the PBE level.

Cell lengths 5.6088, 5.6088, 5.8968 Å; angles 103.33, 103.33, 114.85 degrees
Atoms (fractional coordinates):
Na 0.0000 0.0000 0.0000
Na 0.3299 0.6701 0.0000
Na 0.6701 0.3299 0.0000
Ag 0.1728 0.8272 0.5000
Ag 0.8272 0.1728 0.5000
Pd 0.5000 0.5000 0.5000
O 0.1391 0.4562 0.2650
O 0.2566 0.2566 0.6699
O 0.4562 0.1391 0.2650
O 0.5438 0.8609 0.7350
O 0.7434 0.7434 0.3301
O 0.8609 0.5438 0.7350

Summary:
D(E_F) (states/eV per cell): 4.5
Symmetry: C2/m, No. 12
Energy relative to the elements, uncorrected (kJ/mol of atoms): -68.23